This record from Alexandria describes crystalline Ti6Nb12Al at its relaxed geometry. The functional is PBE.

abc: 5.3346 8.1781 8.6566
angles: 65.28 89.63 87.10
Last column: nearest neighbours and their distance in Å.
Space group P-1 (No. 2)
Inequivalent atoms, fractional coordinates:
Ti  0.0713  0.2954  0.3602 x2  4 Nb 2.69-3.00, 1 Ti 2.79
Ti  0.1310  0.2942  0.7250 x2  5 Nb 2.54-2.82, 1 Al 2.70
Ti  0.3387  0.1999  0.1291 x2  1 Ti 2.79, 7 Nb 2.81-3.09, 1 Al 3.01
Nb  0.1344  0.9657  0.7009 x2  3 Ti 2.69-3.00, 1 Al 2.80, 2 Nb 2.84-2.96
Nb  0.1366  0.6242  0.0315 x2  4 Nb 2.71-2.95, 3 Ti 2.82-3.02, 1 Al 3.02
Nb  0.2797  0.5535  0.4270 x2  3 Ti 2.54-2.71, 3 Nb 2.61-2.81
Nb  0.4050  0.8617  0.4697 x2  6 Nb 2.77-2.99, 2 Ti 3.00-3.09
Nb  0.4086  0.5416  0.8063 x2  4 Nb 2.71-2.99, 3 Ti 2.81-2.92
Nb  0.4300  0.8504  0.1464 x2  3 Ti 2.60-2.85, 1 Al 2.61, 3 Nb 2.77-2.84
Al  0.0000  0.0000  0.0000 x1  4 Nb 2.61-2.80, 2 Ti 2.70

As for the density: 6927 kg/m³. For the calculated formation energy, the calculation gives 0.116 eV/atom. Its volume is 342.6 Å³ per cell. The size of the total moment is 0.00 μB per cell. As for the density of states at the Fermi level: 1.306 states/eV/atom. The total energy is -169.8 eV per formula unit.


This record from Alexandria describes crystalline Ti4NbAl2 at its relaxed geometry. The functional is PBE.

abc: 4.7568 4.7568 13.1846
angles: 90.00 90.00 90.00
Last column: nearest neighbours and their distance in Å.
Space group I4/mmm (No. 139)
Inequivalent atoms, fractional coordinates:
Ti  0.0000  0.0000  0.1857 x4  1 Nb 2.45, 1 Al 2.67
Ti  0.0000  0.5000  0.0000 x4  2 Nb 2.38
Nb  0.0000  0.0000  0.0000 x2  6 Ti 2.38-2.45
Al  0.0000  0.0000  0.3879 x4  5 Ti 2.67-2.80, 1 Al 2.96

As for the density: 3766 kg/m³. For the calculated formation energy, the calculation gives 0.738 eV/atom. Its volume is 298.3 Å³ per cell. The size of the total moment is 0.00 μB per cell. As for the density of states at the Fermi level: 1.228 states/eV/atom. The total energy is -44.0 eV per formula unit.


This record from Alexandria describes crystalline Ti2Nb3Al4 at its relaxed geometry. The functional is PBE.

abc: 9.3234 3.8057 9.0017
angles: 90.00 109.28 90.00
Last column: nearest neighbours and their distance in Å.
Space group C2/m (No. 12)
Inequivalent atoms, fractional coordinates:
Ti  0.1635  0.0000  0.2127 x4  4 Nb 2.77-2.82, 7 Al 2.82-2.99
Nb  0.0000  0.5000  0.0000 x2  4 Ti 2.77, 8 Al 2.83-2.99
Nb  0.1705  0.0000  0.5660 x4  2 Ti 2.82, 6 Al 2.83-2.93, 3 Nb 2.90-3.00
Al  0.0028  0.5000  0.3335 x4  6 Nb 2.83-2.99, 3 Al 2.84-3.02, 3 Ti 2.85-2.99
Al  0.1665  0.0000  0.8904 x4  4 Al 2.81-2.84, 4 Ti 2.82-2.91, 4 Nb 2.83-2.94

As for the density: 5314 kg/m³. For the calculated formation energy, the calculation gives -0.336 eV/atom. Its volume is 301.5 Å³ per cell. The size of the total moment is 0.00 μB per cell. As for the density of states at the Fermi level: 0.661 states/eV/atom. The total energy is -64.0 eV per formula unit.


This record from Alexandria describes crystalline Ti4Nb3Al9 at its relaxed geometry. The functional is PBE.

abc: 5.6600 5.6600 8.1723
angles: 90.00 90.00 90.00
Last column: nearest neighbours and their distance in Å.
Space group P4/mmm (No. 123)
Inequivalent atoms, fractional coordinates:
Ti  0.0000  0.0000  0.0000 x1  4 Nb 2.83, 8 Al 2.86
Ti  0.0000  0.5000  0.5000 x2  2 Nb 2.83, 10 Al 2.83-2.86
Ti  0.5000  0.5000  0.0000 x1  4 Nb 2.83, 8 Al 2.86
Nb  0.0000  0.0000  0.5000 x1  4 Ti 2.83, 8 Al 2.86
Nb  0.0000  0.5000  0.0000 x2  4 Ti 2.83, 8 Al 2.86
Al  0.2495  0.2495  0.2502 x8  5 Al 2.82-2.86, 3 Nb 2.86, 4 Ti 2.86
Al  0.5000  0.5000  0.5000 x1  4 Ti 2.83, 8 Al 2.86

As for the density: 4522 kg/m³. For the calculated formation energy, the calculation gives -0.364 eV/atom. Its volume is 261.8 Å³ per cell. The size of the total moment is 0.00 μB per cell. As for the density of states at the Fermi level: 0.696 states/eV/atom. The total energy is -101.3 eV per formula unit.